Record 1
A geometry-optimized HfSiSCl2 structure, computed with PBE-GGA.

abc: 4.657 4.657 4.910
angles: 90.00 90.00 90.00
Element x y z (fractional)
Hf 0.000 0.000 0.000
Si 0.500 0.500 0.500
S 0.500 0.500 0.000
Cl 0.000 0.500 0.500
Cl 0.500 0.000 0.500

Output
Space-group type: P4/mmm, No. 123
N(E_F) (states/eV/cell): 3.53
Formation energy without anion corrections (kJ/mol of atoms): 24.7

---

Record 2
A geometry-optimized HfSiS2Cl structure, computed with PBE-GGA.

abc: 4.960 4.960 4.892
angles: 90.00 90.00 90.00
Element x y z (fractional)
Hf 0.000 0.000 0.000
Si 0.500 0.500 0.500
S 0.000 0.500 0.000
S 0.500 0.000 0.000
Cl 0.000 0.000 0.500

Output
Space-group type: P4/mmm, No. 123
N(E_F) (states/eV/cell): 1.89
Formation energy without anion corrections (kJ/mol of atoms): -35.6

---

Number 1: distance to the lowest polymorph of the same formula 629 meV per atom. Number 2: distance to the lowest polymorph of the same formula 0 meV per atom.